DFT (GGA-PBE) results for a geometry-optimized LiCu2HPd structure.

The value obtained for the total energy is -19.34 eV/cell.

a b c (Å): 3.637 3.637 4.053
angles (deg): 90.00 90.00 90.00
Sites, in units of the cell vectors:
H 0.000 0.000 0.000
Cu 0.000 0.500 0.000
Cu 0.500 0.000 0.000
Pd 0.500 0.500 0.500
Li 0.000 0.000 0.500

DFT (GGA-PBE) results for a geometry-optimized NaCdIn2Hg2 structure.

The value obtained for the total energy is -17.61 eV/cell.

a b c (Å): 5.140 6.550 9.161
angles (deg): 90.00 90.00 90.00
Sites, in units of the cell vectors:
Na 0.000 0.007 0.500
Na 0.000 0.507 0.500
Cd 0.500 0.257 0.666
Cd 0.500 0.757 0.334
In 0.500 0.007 0.001
In 0.000 0.259 0.160
In 0.500 0.507 0.999
In 0.000 0.759 0.840
Hg 0.000 0.258 0.818
Hg 0.500 0.257 0.344
Hg 0.000 0.758 0.182
Hg 0.500 0.757 0.656

DFT (GGA-PBE) results for a geometry-optimized In6As structure.

The value obtained for the total energy is -16.33 eV/cell.

a b c (Å): 7.107 7.107 7.107
angles (deg): 109.47 109.47 109.47
Sites, in units of the cell vectors:
In 0.250 0.750 0.500
In 0.500 0.750 0.250
In 0.250 0.500 0.750
In 0.750 0.250 0.500
In 0.500 0.250 0.750
In 0.750 0.500 0.250
As 0.000 0.000 0.000

> Which formula does entry 2 have?

NaCdIn2Hg2